Material: TbPrY6
Method: DFT, PBE
State: relaxed

Volume ... 265.4 Å³/cell
Crystal system ... triclinic
Spin magnetization ... 0.000 μB per atom
Formation enthalpy at 0 K ... 0.2015 eV per atom
Relative energy among the computed polymorphs ... 1.21 kcal/mol of atoms
E ... -46.58 eV per formula unit

abc: 6.584 6.803 7.015
angles: 118.60 103.80 90.14
Element x y z (fractional)
Tb 0.000 0.000 0.000
Pr 0.500 0.000 0.000
Y 0.229 0.905 0.474
Y 0.247 0.456 0.998
Y 0.267 0.424 0.517
Y 0.733 0.576 0.483
Y 0.753 0.544 0.002
Y 0.771 0.095 0.526

=====

Material: Tb2Pr3Y3
Method: DFT, PBE
State: relaxed

Volume ... 272.3 Å³/cell
Crystal system ... monoclinic
Spin magnetization ... 0.000 μB per atom
Formation enthalpy at 0 K ... 0.0801 eV per atom
Relative energy among the computed polymorphs ... 1.39 kcal/mol of atoms
E ... -42.35 eV per formula unit

abc: 8.735 8.735 6.079
angles: 108.79 108.79 38.65
Element x y z (fractional)
Tb 0.249 0.249 0.318
Tb 0.751 0.751 0.682
Pr 0.000 0.000 0.000
Pr 0.136 0.136 0.697
Pr 0.864 0.864 0.303
Y 0.367 0.367 0.917
Y 0.500 0.500 0.500
Y 0.633 0.633 0.083

=====

Material: Tb7Pr3Y2
Method: DFT, PBE
State: relaxed

Volume ... 401.1 Å³/cell
Crystal system ... monoclinic
Spin magnetization ... 0.000 μB per atom
Formation enthalpy at 0 K ... 0.0832 eV per atom
Relative energy among the computed polymorphs ... 0.00 kcal/mol of atoms
E ... -58.68 eV per formula unit

abc: 6.408 3.558 17.701
angles: 90.00 96.20 90.00
Element x y z (fractional)
Tb 0.000 0.000 0.000
Tb 0.223 0.500 0.166
Tb 0.254 0.500 0.499
Tb 0.270 0.000 0.834
Tb 0.730 0.000 0.166
Tb 0.746 0.500 0.501
Tb 0.777 0.500 0.834
Pr 0.452 0.000 0.340
Pr 0.500 0.500 0.000
Pr 0.548 0.000 0.660
Y 0.056 0.500 0.673
Y 0.944 0.500 0.327

=====

Material: Tb5Pr3Y4
Method: DFT, PBE
State: relaxed

Volume ... 396.6 Å³/cell
Crystal system ... triclinic
Spin magnetization ... 0.000 μB per atom
Formation enthalpy at 0 K ... 0.0165 eV per atom
Relative energy among the computed polymorphs ... 0.00 kcal/mol of atoms
E ... -63.15 eV per formula unit

abc: 6.240 7.201 8.824
angles: 90.00 90.08 90.15
Element x y z (fractional)
Tb 0.000 0.000 0.000
Tb 0.335 0.500 0.333
Tb 0.500 0.249 0.000
Tb 0.500 0.751 0.000
Tb 0.665 0.500 0.667
Pr 0.000 0.500 0.000
Pr 0.167 0.250 0.667
Pr 0.833 0.750 0.333
Y 0.168 0.751 0.667
Y 0.333 0.000 0.332
Y 0.667 0.000 0.668
Y 0.832 0.249 0.333

=====

Material: Tb5Pr5Y
Method: DFT, PBE
State: relaxed

Volume ... 390.6 Å³/cell
Crystal system ... hexagonal
Spin magnetization ... 0.000 μB per atom
Formation enthalpy at 0 K ... 0.2758 eV per atom
E ... -50.48 eV per formula unit

abc: 6.190 6.190 11.771
angles: 90.00 90.00 120.00
Element x y z (fractional)
Tb 0.000 0.000 0.235
Tb 0.000 0.000 0.765
Tb 0.334 0.167 0.000
Tb 0.833 0.167 0.000
Tb 0.833 0.666 0.000
Pr 0.000 0.000 0.500
Pr 0.333 0.667 0.183
Pr 0.333 0.667 0.817
Pr 0.667 0.333 0.345
Pr 0.667 0.333 0.655
Y 0.333 0.667 0.500

=====

Material: Tb7Pr16Y6
Method: DFT, PBE
State: relaxed

Volume ... 1048.2 Å³/cell
Crystal system ... cubic
Spin magnetization ... 0.000 μB per atom
Formation enthalpy at 0 K ... 0.1951 eV per atom
E ... -142.01 eV per formula unit

abc: 11.402 11.402 11.402
angles: 60.00 60.00 60.00
Element x y z (fractional)
Tb 0.000 0.000 0.000
Tb 0.000 0.000 0.500
Tb 0.000 0.500 0.000
Tb 0.000 0.500 0.500
Tb 0.500 0.000 0.000
Tb 0.500 0.000 0.500
Tb 0.500 0.500 0.000
Pr 0.049 0.650 0.650
Pr 0.124 0.124 0.124
Pr 0.124 0.124 0.627
Pr 0.124 0.627 0.124
Pr 0.350 0.350 0.350
Pr 0.350 0.350 0.951
Pr 0.350 0.951 0.350
Pr 0.373 0.876 0.876
Pr 0.627 0.124 0.124
Pr 0.650 0.049 0.650
Pr 0.650 0.650 0.049
Pr 0.650 0.650 0.650
Pr 0.876 0.373 0.876
Pr 0.876 0.876 0.373
Pr 0.876 0.876 0.876
Pr 0.951 0.350 0.350
Y 0.268 0.268 0.732
Y 0.268 0.732 0.268
Y 0.268 0.732 0.732
Y 0.732 0.268 0.268
Y 0.732 0.268 0.732
Y 0.732 0.732 0.268

=====

Material: Tb3Pr3Y2
Method: DFT, PBE
State: relaxed

Volume ... 268.8 Å³/cell
Crystal system ... orthorhombic
Spin magnetization ... 0.000 μB per atom
Formation enthalpy at 0 K ... 0.0201 eV per atom
Relative energy among the computed polymorphs ... 0.00 kcal/mol of atoms
E ... -41.00 eV per formula unit

abc: 10.869 10.869 10.869
angles: 152.78 152.71 38.92
Element x y z (fractional)
Tb 0.000 0.000 0.000
Tb 0.374 0.874 0.500
Tb 0.626 0.126 0.500
Pr 0.125 0.625 0.500
Pr 0.500 0.500 0.000
Pr 0.875 0.375 0.500
Y 0.251 0.251 0.000
Y 0.749 0.749 0.000

=====

Material: Tb5Pr2Y12
Method: DFT, PBE
State: relaxed

Volume ... 624.2 Å³/cell
Crystal system ... triclinic
Spin magnetization ... 0.000 μB per atom
Formation enthalpy at 0 K ... 0.0441 eV per atom
Relative energy among the computed polymorphs ... 0.00 kcal/mol of atoms
E ... -109.44 eV per formula unit

abc: 6.167 8.893 11.749
angles: 91.00 102.61 96.54
Element x y z (fractional)
Tb 0.000 0.000 0.000
Tb 0.432 0.949 0.845
Tb 0.480 0.582 0.748
Tb 0.520 0.418 0.252
Tb 0.568 0.051 0.155
Pr 0.126 0.467 0.400
Pr 0.874 0.533 0.600
Y 0.056 0.634 0.898
Y 0.127 0.093 0.308
Y 0.200 0.738 0.205
Y 0.241 0.217 0.631
Y 0.313 0.840 0.532
Y 0.369 0.316 0.945
Y 0.631 0.684 0.055
Y 0.687 0.160 0.468
Y 0.759 0.783 0.369
Y 0.800 0.262 0.795
Y 0.873 0.907 0.692
Y 0.944 0.366 0.102

=====

Please write out number 7 again, unchanged.
Material: Tb3Pr3Y2
Method: DFT, PBE
State: relaxed

Volume ... 268.8 Å³/cell
Crystal system ... orthorhombic
Spin magnetization ... 0.000 μB per atom
Formation enthalpy at 0 K ... 0.0201 eV per atom
Relative energy among the computed polymorphs ... 0.00 kcal/mol of atoms
E ... -41.00 eV per formula unit

abc: 10.869 10.869 10.869
angles: 152.78 152.71 38.92
Element x y z (fractional)
Tb 0.000 0.000 0.000
Tb 0.374 0.874 0.500
Tb 0.626 0.126 0.500
Pr 0.125 0.625 0.500
Pr 0.500 0.500 0.000
Pr 0.875 0.375 0.500
Y 0.251 0.251 0.000
Y 0.749 0.749 0.000

=====

Which value of spin magnetization does entry 4 give? 0.000 μB per atom

=====

What is the volume in the sixth record? 1048.2 Å³/cell